Entry 1:
First-principles (PBE with a Hubbard U) data for a relaxed CsMoO3 crystal, as listed in the Alexandria database.

Values from the calculation:
**Magnetization**: 6.000 Bohr magnetons per cell
**Calculated total energy**: -6.3089 eV/atom

Lattice parameters (Å, degrees): 5.5972 5.5972 20.5357 90.00 90.00 120.00
With the nearest neighbours (Å) after each atom.
Space group R-3m (No. 166, hexagonal axes)
Symmetry-distinct sites (fractional):
Cs  0.0000  0.0000  0.1230 (multiplicity 6)  6 O 3.10
Mo  0.0000  0.0000  0.3339 (multiplicity 6)  6 O 2.01-2.02
O  0.0014  0.5007  0.9415 (multiplicity 18)  2 Mo 2.01-2.02



Entry 2:
First-principles (PBE with a Hubbard U) data for a relaxed CsMoO3 crystal, as listed in the Alexandria database.

Values from the calculation:
**Magnetization**: 2.000 Bohr magnetons per cell
**Calculated total energy**: -6.0608 eV/atom

Lattice parameters (Å, degrees): 5.8644 5.8644 4.1873 90.00 90.00 90.00
With the nearest neighbours (Å) after each atom.
Space group P4/mbm (No. 127)
Symmetry-distinct sites (fractional):
Cs  0.0000  0.0000  0.0000 (multiplicity 2)  12 O 2.93-2.95
Mo  0.0000  0.5000  0.5000 (multiplicity 2)  4 O 1.95-2.09
O  0.0000  0.5000  0.0000 (multiplicity 2)  2 Mo 2.09
O  0.2347  0.2653  0.5000 (multiplicity 4)  1 Mo 1.95



Entry 3:
First-principles (PBE with a Hubbard U) data for a relaxed CsMoO3 crystal, as listed in the Alexandria database.

Values from the calculation:
**Magnetization**: 2.000 Bohr magnetons per cell
**Calculated total energy**: -6.3878 eV/atom

Lattice parameters (Å, degrees): 6.3425 5.6134 7.5045 90.00 111.31 90.00
With the nearest neighbours (Å) after each atom.
Space group P2_1/m (No. 11)
Symmetry-distinct sites (fractional):
Cs  0.1592  0.2500  0.2698 (multiplicity 2)  5 O 3.04-3.21
Mo  0.5002  0.2500  0.9084 (multiplicity 2)  1 O 1.76
O  0.2874  0.0016  0.9379 (multiplicity 4)  2 Mo 2.00-2.01
O  0.4917  0.7500  0.3237 (multiplicity 2)  1 Mo 1.76



Entry 4:
First-principles (PBE with a Hubbard U) data for a relaxed Cs2MoO4 crystal, as listed in the Alexandria database.

Values from the calculation:
**ΔE to the lowest computed polymorph**: 0.0000 eV per atom
**Magnetization**: 0.618 Bohr magnetons per cell

Lattice parameters (Å, degrees): 8.7055 6.7737 11.7765 90.00 90.00 90.00
With the nearest neighbours (Å) after each atom.
Space group Pnma (No. 62)
Symmetry-distinct sites (fractional):
Cs  0.0086  0.2500  0.2091 (multiplicity 4)  7 O 3.09-3.29
Cs  0.1759  0.2500  0.5739 (multiplicity 4)  1 O 2.95
Mo  0.2185  0.2500  0.9148 (multiplicity 4)  4 O 1.80
O  0.0143  0.2500  0.9382 (multiplicity 4)  1 Mo 1.80
O  0.1830  0.7500  0.5496 (multiplicity 4)  1 Mo 1.80
O  0.2286  0.5322  0.3361 (multiplicity 8)  1 Mo 1.80



Entry 5:
First-principles (PBE with a Hubbard U) data for a relaxed Cs3Mo2O8 crystal, as listed in the Alexandria database.

Values from the calculation:
**Magnetization**: 3.420 Bohr magnetons per cell
**Calculated total energy**: -6.0408 eV/atom

Lattice parameters (Å, degrees): 6.6447 6.6447 23.6330 90.00 90.00 120.00
With the nearest neighbours (Å) after each atom.
Space group R-3m (No. 166, hexagonal axes)
Symmetry-distinct sites (fractional):
Cs  0.0000  0.0000  0.0000 (multiplicity 3)  6 O 3.16
Cs  0.0000  0.0000  0.2004 (multiplicity 6)  10 O 3.07-3.43
Mo  0.0000  0.0000  0.4067 (multiplicity 6)  4 O 1.80
O  0.0000  0.0000  0.3304 (multiplicity 6)  1 Mo 1.80
O  0.0377  0.5188  0.2350 (multiplicity 18)  1 Mo 1.80



Entry 6:
First-principles (PBE with a Hubbard U) data for a relaxed Cs3MoO4 crystal, as listed in the Alexandria database.

Values from the calculation:
**ΔE to the lowest computed polymorph**: 0.0113 eV per atom
**Magnetization**: 2.000 Bohr magnetons per cell

Lattice parameters (Å, degrees): 6.7149 9.3915 6.9441 90.00 90.00 90.00
With the nearest neighbours (Å) after each atom.
Space group Imm2 (No. 44)
Symmetry-distinct sites (fractional):
Cs  0.0000  0.0000  0.0000 (multiplicity 2)  4 O 2.81-3.10
Cs  0.0000  0.2352  0.5169 (multiplicity 4)  3 O 2.90-3.05
Mo  0.0000  0.5000  0.0457 (multiplicity 2)  4 O 1.87
O  0.0000  0.3247  0.9170 (multiplicity 4)  1 Mo 1.87
O  0.2395  0.5000  0.1840 (multiplicity 4)  1 Mo 1.87



Q: Which of these has the highest magnetization?
A: number 1



Q: magnetization of number 3 (CsMoO3)?
A: 2.000 Bohr magnetons per cell



Copy entry 6 word for word.
First-principles (PBE with a Hubbard U) data for a relaxed Cs3MoO4 crystal, as listed in the Alexandria database.

Values from the calculation:
**ΔE to the lowest computed polymorph**: 0.0113 eV per atom
**Magnetization**: 2.000 Bohr magnetons per cell

Lattice parameters (Å, degrees): 6.7149 9.3915 6.9441 90.00 90.00 90.00
With the nearest neighbours (Å) after each atom.
Space group Imm2 (No. 44)
Symmetry-distinct sites (fractional):
Cs  0.0000  0.0000  0.0000 (multiplicity 2)  4 O 2.81-3.10
Cs  0.0000  0.2352  0.5169 (multiplicity 4)  3 O 2.90-3.05
Mo  0.0000  0.5000  0.0457 (multiplicity 2)  4 O 1.87
O  0.0000  0.3247  0.9170 (multiplicity 4)  1 Mo 1.87
O  0.2395  0.5000  0.1840 (multiplicity 4)  1 Mo 1.87